A plane-wave DFT calculation with PBE-GGA was carried out for a geometry-optimized TlAgPb2F6 structure.

abc: 5.5189 5.5189 6.5027
angles: 90.00 90.00 90.00
Last column: nearest neighbours and their distance in Å.
Positions (direct):
Tl 0.0000 0.0000 0.0000  5 F 2.59-2.68
Ag 0.5000 0.5000 0.9978  1 F 2.24
Pb 0.0000 0.5000 0.4687  4 F 2.41
Pb 0.5000 0.0000 0.4687  4 F 2.41
F 0.0000 0.0000 0.5879  1 Tl 2.68, 4 Pb 2.87, 4 F 2.96
F 0.2562 0.2562 0.2521  2 Pb 2.41, 1 Ag 2.52, 1 Tl 2.59, 2 F 2.69
F 0.2562 0.7438 0.2521  2 Pb 2.41, 1 Ag 2.52, 1 Tl 2.59, 2 F 2.69
F 0.5000 0.5000 0.6533  1 Ag 2.24
F 0.7438 0.2562 0.2521  2 Pb 2.41, 1 Ag 2.52, 1 Tl 2.59, 2 F 2.69
F 0.7438 0.7438 0.2521  2 Pb 2.41, 1 Ag 2.52, 1 Tl 2.59, 2 F 2.69

Output
- DOS at the Fermi energy (states/eV/cell) = 0.00
- calculated total energy (eV/f.u.) = -42.8
- raw formation energy (meV per atom) = -1898
- total magnetization (μB/f.u.) = 0.00

---

A plane-wave DFT calculation with PBE-GGA was carried out for a geometry-optimized AgH2F structure.

abc: 4.1546 4.1546 5.8741
angles: 90.00 90.00 120.10
Last column: nearest neighbours and their distance in Å.
Positions (direct):
Ag 0.0002 0.9998 0.2500  3 F 2.40, 6 H 2.43
Ag 0.9998 0.0002 0.7500  3 F 2.40, 6 H 2.43
H 0.3334 0.6666 0.6846  1 H 0.77
H 0.3334 0.6666 0.8154  1 H 0.77
H 0.6666 0.3334 0.1846  1 H 0.77
H 0.6666 0.3334 0.3154  1 H 0.77
F 0.3336 0.6664 0.2500  3 Ag 2.40, 8 H 2.43-2.55
F 0.6664 0.3336 0.7500  3 Ag 2.40, 8 H 2.43-2.55

Output
- DOS at the Fermi energy (states/eV/cell) = 0.00
- calculated total energy (eV/f.u.) = -13.0
- total magnetization (μB/f.u.) = 0.00